# La8Dy3Th

A geometry-optimized La8Dy3Th structure (GGA-PBE, Alexandria).

Cell lengths 9.2551, 9.2550, 9.2551 Å; angles 72.98, 139.85, 121.89 degrees
Atoms (fractional coordinates):
La 0.5457 0.0739 0.2765
La 0.4543 0.7308 0.5282
La 0.2026 0.9261 0.4718
La 0.7974 0.2692 0.7235
La 0.2972 0.3638 0.3697
La 0.7028 0.0725 0.0666
La 0.0059 0.6362 0.9334
La 0.9941 0.9275 0.6303
Dy 0.5000 0.6146 0.1146
Dy 0.5000 0.3854 0.8854
Dy 0.0000 0.5000 0.5000
Th 0.0000 0.0000 0.0000

Output
- Formation enthalpy at 0 K: 3.358 eV per formula unit
- Calculated density: 7.2 g/cm³
- Volume: 35.415 Å³ per atom
- Size of the total moment: 0.0 μB per formula unit
- SG: No. 23

# La2DyTh2

A geometry-optimized La2DyTh2 structure (GGA-PBE, Alexandria).

Cell lengths 3.6165, 3.6165, 15.0236 Å; angles 83.09, 83.09, 60.00 degrees
Atoms (fractional coordinates):
La 0.7956 0.7956 0.6133
La 0.2044 0.2044 0.3867
Dy 0.0000 0.0000 0.0000
Th 0.3978 0.3978 0.8065
Th 0.6022 0.6022 0.1935

Output
- Formation enthalpy at 0 K: 0.145 eV per formula unit
- Calculated density: 8.9 g/cm³
- Volume: 33.704 Å³ per atom
- Size of the total moment: 0.0 μB per formula unit
- SG: No. 166

# La2Dy5Th3

A geometry-optimized La2Dy5Th3 structure (GGA-PBE, Alexandria).

Cell lengths 5.0604, 6.2522, 12.9083 Å; angles 61.42, 78.70, 66.13 degrees
Atoms (fractional coordinates):
La 0.4024 0.9922 0.2030
La 0.5976 0.0078 0.7970
Dy 0.0000 0.0000 0.0000
Dy 0.2015 0.0001 0.5970
Dy 0.7985 0.9999 0.4030
Dy 0.6996 0.4968 0.1039
Dy 0.3004 0.5032 0.8961
Th 0.5000 0.5000 0.5000
Th 0.0981 0.5014 0.3024
Th 0.9019 0.4986 0.6976

Output
- Formation enthalpy at 0 K: 0.524 eV per formula unit
- Calculated density: 9.0 g/cm³
- Volume: 32.796 Å³ per atom
- Size of the total moment: 0.0 μB per formula unit
- SG: No. 12

# LaDy6Th4

A geometry-optimized LaDy6Th4 structure (GGA-PBE, Alexandria).

Cell lengths 3.4459, 5.8859, 18.2338 Å; angles 99.29, 95.42, 90.00 degrees
Atoms (fractional coordinates):
La 0.0000 0.0000 0.0000
Dy 0.7672 0.2672 0.5344
Dy 0.8682 0.3682 0.7365
Dy 0.1318 0.6318 0.2635
Dy 0.5975 0.0975 0.1949
Dy 0.4025 0.9025 0.8051
Dy 0.2328 0.7328 0.4656
Th 0.4551 0.4551 0.9101
Th 0.1827 0.1827 0.3655
Th 0.8173 0.8173 0.6345
Th 0.5449 0.5449 0.0899

Output
- Formation enthalpy at 0 K: 1.910 eV per formula unit
- Calculated density: 9.3 g/cm³
- Volume: 33.027 Å³ per atom
- Size of the total moment: 0.0 μB per formula unit
- SG: No. 71

# LaDyTh14

A geometry-optimized LaDyTh14 structure (GGA-PBE, Alexandria).

Cell lengths 7.1869, 7.1869, 11.6234 Å; angles 90.00, 90.00, 120.07 degrees
Atoms (fractional coordinates):
La 0.5401 0.4599 0.5000
Dy 0.0411 0.9589 0.5000
Th 0.2080 0.7920 0.0000
Th 0.7084 0.2916 0.0000
Th 0.0458 0.4594 0.5000
Th 0.2083 0.2914 0.0000
Th 0.5406 0.9542 0.5000
Th 0.7086 0.7917 0.0000
Th 0.3743 0.1239 0.7514
Th 0.3743 0.1239 0.2486
Th 0.8761 0.6257 0.7514
Th 0.8761 0.6257 0.2486
Th 0.3743 0.6257 0.7520
Th 0.3743 0.6257 0.2480
Th 0.8749 0.1251 0.7500
Th 0.8749 0.1251 0.2500

Output
- Formation enthalpy at 0 K: 0.594 eV per formula unit
- Calculated density: 11.3 g/cm³
- Volume: 32.473 Å³ per atom
- Size of the total moment: 0.0 μB per formula unit
- SG: No. 38

# La4DyTh

A geometry-optimized La4DyTh structure (GGA-PBE, Alexandria).

Cell lengths 3.5129, 6.1250, 10.4658 Å; angles 85.72, 80.34, 73.34 degrees
Atoms (fractional coordinates):
La 0.6646 0.5105 0.1603
La 0.3354 0.4895 0.8397
La 0.1532 0.0351 0.6584
La 0.8468 0.9649 0.3416
Dy 0.0000 0.0000 0.0000
Th 0.5000 0.5000 0.5000

Output
- Formation enthalpy at 0 K: 1.066 eV per formula unit
- Calculated density: 7.4 g/cm³
- Volume: 35.431 Å³ per atom
- Size of the total moment: 0.0 μB per formula unit
- SG: No. 12